# 1
First-principles (PBE) data for a relaxed structure of Ce2BeGePt6, as listed in Alexandria.

Lattice parameters (Å, degrees): 9.1532 9.1532 9.1532 90.00 90.00 90.00
Space group Fm-3m (No. 225)
Asymmetric unit:
Ce1 0.2500 0.2500 0.2500 x8
Be1 0.0000 0.0000 0.0000 x4
Ge1 0.0000 0.0000 0.5000 x4
Pt1 0.0000 0.0000 0.2363 x24

calculated formation energy	-0.608	eV per atom
size of the total moment	5.41	μB per cell

=====

# 2
First-principles (PBE) data for a relaxed structure of DyTh2Tl, as listed in Alexandria.

Lattice parameters (Å, degrees): 3.4114 3.4114 37.1753 90.00 90.00 120.00
Space group R-3m (No. 166, hexagonal axes)
Asymmetric unit:
Dy1 0.0000 0.0000 0.0000 x3
Th1 0.0000 0.0000 0.0895 x6
Tl1 0.0000 0.0000 0.5000 x3

calculated formation energy	0.192	eV per atom
size of the total moment	0.00	μB per cell
energy above the lowest structure with this stoichiometry	0.2914	eV per atom

=====

# 3
First-principles (PBE) data for a relaxed structure of TlCdHg4, as listed in Alexandria.

Lattice parameters (Å, degrees): 3.9200 3.9200 10.5266 90.00 90.00 90.00
Space group P4/mmm (No. 123)
Asymmetric unit:
Tl1 0.0000 0.0000 0.0000 x1
Cd1 0.5000 0.5000 0.5000 x1
Hg1 0.0000 0.0000 0.3449 x2
Hg2 0.5000 0.5000 0.1856 x2

calculated formation energy	-0.010	eV per atom
size of the total moment	0.00	μB per cell
energy above the lowest structure with this stoichiometry	0.0000	eV per atom

=====

# 4
First-principles (PBE) data for a relaxed structure of RbHfTlI6, as listed in Alexandria.

Lattice parameters (Å, degrees): 8.4372 8.4372 14.9229 90.00 90.00 120.00
Space group P-31c (No. 163)
Asymmetric unit:
Rb1 0.0000 0.0000 0.0000 x2
Hf1 0.3333 0.6667 0.2500 x2
Tl1 0.3333 0.6667 0.7500 x2
I1 0.0540 0.3954 0.1380 x12

size of the total moment	0.00	μB per cell
ΔE_f (raw)	-854	kJ/mol of formula units

=====

# 5
First-principles (PBE) data for a relaxed structure of BeBiPt3, as listed in Alexandria.

Lattice parameters (Å, degrees): 10.8032 10.2864 6.4599 90.00 90.94 90.00
Space group C2/c (No. 15)
Asymmetric unit:
Be1 0.0000 0.0956 0.2500 x4
Be2 0.0000 0.2673 0.7500 x4
Bi1 0.1531 0.4070 0.2400 x8
Pt1 0.0935 0.0852 0.9190 x8
Pt2 0.1384 0.1818 0.4940 x8
Pt3 0.1972 0.3370 0.8370 x8

calculated formation energy	-0.275	eV per atom
size of the total moment	0.00	μB per cell
energy above the lowest structure with this stoichiometry	0.1566	eV per atom

=====

# 6
First-principles (PBE) data for a relaxed structure of Rb2MnSeBr6, as listed in Alexandria.

Lattice parameters (Å, degrees): 8.0301 8.0301 10.8621 90.00 90.00 90.00
Space group I4/mmm (No. 139)
Asymmetric unit:
Rb1 0.0000 0.5000 0.2500 x4
Mn1 0.0000 0.0000 0.0000 x2
Se1 0.0000 0.0000 0.5000 x2
Br1 0.0000 0.0000 0.2642 x4
Br2 0.2197 0.2197 0.0000 x8

size of the total moment	6.00	μB per cell
ΔE_f (raw)	-865	kJ/mol of formula units

=====

# 7
First-principles (PBE) data for a relaxed structure of MgNi15Sn4, as listed in Alexandria.

Lattice parameters (Å, degrees): 3.7278 3.7278 18.4790 90.00 90.00 90.00
Space group P4/mmm (No. 123)
Asymmetric unit:
Mg1 0.0000 0.0000 0.0000 x1
Ni1 0.0000 0.5000 0.0964 x4
Ni2 0.0000 0.5000 0.2978 x4
Ni3 0.0000 0.5000 0.5000 x2
Ni4 0.5000 0.5000 0.0000 x1
Ni5 0.5000 0.5000 0.1984 x2
Ni6 0.5000 0.5000 0.3992 x2
Sn1 0.0000 0.0000 0.1960 x2
Sn2 0.0000 0.0000 0.3988 x2

calculated formation energy	-0.157	eV per atom
size of the total moment	1.51	μB per cell

=====

Q: size of the total moment of number 6 (Rb2MnSeBr6)?
A: 6.00 μB per cell

=====

Q: Which value of size of the total moment does entry 1 give?
A: 5.41 μB per cell

=====

Q: What is the size of the total moment in the seventh record?
A: 1.51 μB per cell

=====

Q: Number 5 is which compound?
A: BeBiPt3